(1)
This record from Alexandria via LeMat-Bulk describes Mg2AsOs after structural relaxation. The functional is PBE.

The total energy is -19.11 eV/cell. For the formation energy from the elements, the calculation gives -0.011 eV per atom. As for the symmetry: No. 8. The calculation puts the density of states at the Fermi level at 3.93 states/eV/f.u.

a = 5.3082 Å, b = 5.3082 Å, c = 4.6868 Å
α = 72.90°, β = 72.90°, γ = 34.53°
Last column: nearest neighbours and their distance in Å.
Fractional positions:
Mg: 0.2230 0.2230 0.2980  4 As 2.80-2.98, 3 Os 2.87-2.97, 1 Mg 2.95
Os: 0.4745 0.4745 0.4975  2 As 2.45
As: 0.7874 0.7874 0.7307  2 Os 2.45
Mg: 0.0151 0.0151 0.9739  4 Os 2.84-2.86, 3 As 2.87-3.08, 3 Mg 2.95-3.15

(2)
This record from Alexandria via LeMat-Bulk describes NaCe2ScS4 after structural relaxation. The functional is PBE.

The formation energy without anion corrections is -1809 meV/atom. The total energy is -50.50 eV/cell. As for the symmetry: No. 10. The calculation puts the density of states at the Fermi level at 11.54 states/eV/f.u.

a = 3.9438 Å, b = 6.7808 Å, c = 6.8874 Å
α = 70.57°, β = 90.00°, γ = 90.00°
Last column: nearest neighbours and their distance in Å.
Fractional positions:
Sc: 0.0000 0.5000 0.5000  6 S 2.68-2.69
Ce: 0.5000 0.0000 0.5000  6 S 2.80-2.82
Na: 0.5000 0.5000 0.0000  6 S 2.77-2.78
S: 0.5000 0.7299 0.2650  2 Sc 2.69, 1 Na 2.77, 3 Ce 2.82-2.89
Ce: 0.0000 0.0000 0.0000  6 S 2.89-2.90
S: 0.0000 0.7377 0.7420  1 Sc 2.68, 2 Na 2.78, 3 Ce 2.80-2.90
S: 0.5000 0.2701 0.7350  2 Sc 2.69, 1 Na 2.77, 3 Ce 2.82-2.89
S: 0.0000 0.2623 0.2580  1 Sc 2.68, 2 Na 2.78, 3 Ce 2.80-2.90

(3)
This record from Alexandria via LeMat-Bulk describes CeCr2PN after structural relaxation. The functional is PBE.

The formation energy without anion corrections is -972 meV/atom. The total energy is -87.55 eV/cell. As for the symmetry: No. 63. The calculation puts the density of states at the Fermi level at 5.28 states/eV/f.u.

a = 3.5970 Å, b = 5.5918 Å, c = 7.1220 Å
α = 90.00°, β = 90.00°, γ = 108.76°
Last column: nearest neighbours and their distance in Å.
Fractional positions:
Cr: 0.8245 0.6490 0.4431  1 N 1.90
Cr: 0.1755 0.3510 0.9431  1 N 1.90
Cr: 0.8245 0.6490 0.0569  1 N 1.90
Ce: 0.5380 0.0761 0.2500  4 N 2.56
Cr: 0.1755 0.3510 0.5569  1 N 1.90
N: 0.0000 0.0000 0.0000  2 Cr 1.90
N: 0.0000 0.0000 0.5000  2 Cr 1.90
P: 0.2612 0.5223 0.2500  6 Cr 2.36-2.37
P: 0.7388 0.4777 0.7500  6 Cr 2.36-2.37
Ce: 0.4620 0.9239 0.7500  4 N 2.56

(4)
This record from Alexandria via LeMat-Bulk describes Sm2InAg after structural relaxation. The functional is PBE.

The total energy is -16.54 eV/cell. For the formation energy from the elements, the calculation gives -0.377 eV per atom. As for the symmetry: No. 225. The calculation puts the density of states at the Fermi level at 4.00 states/eV/f.u.

a = 5.3590 Å, b = 5.3590 Å, c = 5.3590 Å
α = 60.00°, β = 60.00°, γ = 60.00°
Last column: nearest neighbours and their distance in Å.
Fractional positions:
Sm: 0.7500 0.7500 0.7500  4 In 3.28, 4 Ag 3.28
Sm: 0.2500 0.2500 0.2500  4 In 3.28, 4 Ag 3.28
Ag: 0.0000 0.0000 0.0000  8 Sm 3.28
In: 0.5000 0.5000 0.5000  8 Sm 3.28